[1]
# AcGePt (PBE-GGA, relaxed)
# - Total DFT energy (no corrections): -15.0 eV per formula unit
data_AcGePt
_chemical_formula_sum 'Ac1 Ge1 Pt1'
_space_group_name_H-M_alt 'P 1'
_space_group_IT_number 1
_cell_length_a 5.0300
_cell_length_b 5.0300
_cell_length_c 5.0300
_cell_angle_alpha 60.00
_cell_angle_beta 60.00
_cell_angle_gamma 60.00
loop_
_space_group_symop_operation_xyz
'x,y,z'
loop_
_atom_site_label
_atom_site_fract_x
_atom_site_fract_y
_atom_site_fract_z
Ac1 0.0000 0.0000 0.0000
Ge1 0.7500 0.7500 0.7500
Pt1 0.2500 0.2500 0.2500

=====

[2]
# HoTmInTe3 (PBE-GGA, relaxed)
# - Total DFT energy (no corrections): -27.0 eV per formula unit
data_HoTmInTe3
_chemical_formula_sum 'Ho2 Tm2 In2 Te6'
_space_group_name_H-M_alt 'P 1'
_space_group_IT_number 1
_cell_length_a 9.6520
_cell_length_b 9.6520
_cell_length_c 10.0429
_cell_angle_alpha 103.13
_cell_angle_beta 103.13
_cell_angle_gamma 25.79
loop_
_space_group_symop_operation_xyz
'x,y,z'
loop_
_atom_site_label
_atom_site_fract_x
_atom_site_fract_y
_atom_site_fract_z
Ho1 0.1702 0.1702 0.0738
Ho2 0.8298 0.8298 0.9262
Tm1 0.4974 0.4974 0.7906
Tm2 0.5026 0.5026 0.2094
In1 0.1414 0.1414 0.5492
In2 0.8586 0.8586 0.4508
Te1 0.0000 0.0000 0.0000
Te2 0.3328 0.3328 0.7100
Te3 0.3357 0.3357 0.1518
Te4 0.5000 0.5000 0.5000
Te5 0.6643 0.6643 0.8482
Te6 0.6672 0.6672 0.2900

=====

[3]
# B4PbW (PBE-GGA, relaxed)
# - Total DFT energy (no corrections): -39.4 eV per formula unit
data_B4PbW
_chemical_formula_sum 'B4 Pb1 W1'
_space_group_name_H-M_alt 'P 1'
_space_group_IT_number 1
_cell_length_a 4.9259
_cell_length_b 4.9259
_cell_length_c 4.9259
_cell_angle_alpha 143.54
_cell_angle_beta 111.18
_cell_angle_gamma 80.47
loop_
_space_group_symop_operation_xyz
'x,y,z'
loop_
_atom_site_label
_atom_site_fract_x
_atom_site_fract_y
_atom_site_fract_z
B1 0.0813 0.2427 0.8386
B2 0.4041 0.2427 0.1614
B3 0.5959 0.7573 0.8386
B4 0.9187 0.7573 0.1614
Pb1 0.5000 0.0000 0.5000
W1 0.0000 0.5000 0.5000

=====

[4]
# Li2Zn2Ga2NiAg (PBE-GGA, relaxed)
# - Total DFT energy (no corrections): -22.9 eV per formula unit
data_Li2Zn2Ga2NiAg
_chemical_formula_sum 'Li2 Zn2 Ga2 Ni1 Ag1'
_space_group_name_H-M_alt 'P 1'
_space_group_IT_number 1
_cell_length_a 4.2568
_cell_length_b 4.2568
_cell_length_c 6.2156
_cell_angle_alpha 90.00
_cell_angle_beta 90.00
_cell_angle_gamma 90.00
loop_
_space_group_symop_operation_xyz
'x,y,z'
loop_
_atom_site_label
_atom_site_fract_x
_atom_site_fract_y
_atom_site_fract_z
Li1 0.0000 0.0000 0.0000
Li2 0.5000 0.5000 0.5000
Zn1 0.0000 0.5000 0.7263
Zn2 0.5000 0.0000 0.2737
Ga1 0.0000 0.5000 0.2770
Ga2 0.5000 0.0000 0.7230
Ni1 0.0000 0.0000 0.5000
Ag1 0.5000 0.5000 0.0000

=====

[5]
# K4Au2O (PBE-GGA, relaxed)
# - Total DFT energy (no corrections): -20.3 eV per formula unit
data_K4Au2O
_chemical_formula_sum 'K4 Au2 O1'
_space_group_name_H-M_alt 'P 1'
_space_group_IT_number 1
_cell_length_a 9.2064
_cell_length_b 9.2017
_cell_length_c 5.2468
_cell_angle_alpha 73.49
_cell_angle_beta 73.39
_cell_angle_gamma 33.12
loop_
_space_group_symop_operation_xyz
'x,y,z'
loop_
_atom_site_label
_atom_site_fract_x
_atom_site_fract_y
_atom_site_fract_z
K1 0.0000 0.0000 0.5000
K2 0.1533 0.1533 0.8467
K3 0.5000 0.5000 0.0000
K4 0.8467 0.8467 0.1533
Au1 0.3555 0.3555 0.6445
Au2 0.6445 0.6445 0.3555
O1 0.0000 0.0000 0.0000

=====

[6]
# K3TaO4 (PBE-GGA, relaxed)
# - Total DFT energy (no corrections): -53.1 eV per formula unit
data_K3TaO4
_chemical_formula_sum 'K6 Ta2 O8'
_space_group_name_H-M_alt 'P 1'
_space_group_IT_number 1
_cell_length_a 7.9952
_cell_length_b 6.9100
_cell_length_c 6.2198
_cell_angle_alpha 90.00
_cell_angle_beta 90.00
_cell_angle_gamma 90.00
loop_
_space_group_symop_operation_xyz
'x,y,z'
loop_
_atom_site_label
_atom_site_fract_x
_atom_site_fract_y
_atom_site_fract_z
K1 0.0000 0.1529 0.0000
K2 0.2436 0.3240 0.4981
K3 0.2564 0.6760 0.9981
K4 0.5000 0.8471 0.5000
K5 0.7436 0.6760 0.9981
K6 0.7564 0.3240 0.4981
Ta1 0.0000 0.8220 0.4849
Ta2 0.5000 0.1780 0.9849
O1 0.0000 0.0799 0.5789
O2 0.0000 0.8188 0.1856
O3 0.1936 0.6940 0.5800
O4 0.3064 0.3060 0.0800
O5 0.5000 0.1812 0.6856
O6 0.5000 0.9201 0.0789
O7 0.6936 0.3060 0.0800
O8 0.8064 0.6940 0.5800

=====

[7]
# HoTmTe (PBE-GGA, relaxed)
# - Total DFT energy (no corrections): -13.4 eV per formula unit
data_HoTmTe
_chemical_formula_sum 'Ho1 Tm1 Te1'
_space_group_name_H-M_alt 'P 1'
_space_group_IT_number 1
_cell_length_a 5.0185
_cell_length_b 5.0185
_cell_length_c 5.0185
_cell_angle_alpha 60.00
_cell_angle_beta 60.00
_cell_angle_gamma 60.00
loop_
_space_group_symop_operation_xyz
'x,y,z'
loop_
_atom_site_label
_atom_site_fract_x
_atom_site_fract_y
_atom_site_fract_z
Ho1 0.0000 0.0000 0.0000
Tm1 0.5000 0.5000 0.5000
Te1 0.2500 0.2500 0.2500

=====

[8]
# PrF3 (PBE-GGA, relaxed)
# - Total DFT energy (no corrections): -26.0 eV per formula unit
data_PrF3
_chemical_formula_sum 'Pr6 F18'
_space_group_name_H-M_alt 'P 1'
_space_group_IT_number 1
_cell_length_a 6.9522
_cell_length_b 6.9522
_cell_length_c 7.0118
_cell_angle_alpha 90.00
_cell_angle_beta 90.00
_cell_angle_gamma 120.00
loop_
_space_group_symop_operation_xyz
'x,y,z'
loop_
_atom_site_label
_atom_site_fract_x
_atom_site_fract_y
_atom_site_fract_z
Pr1 0.0000 0.3241 0.0000
Pr2 0.0000 0.6759 0.5000
Pr3 0.3241 0.0000 0.0000
Pr4 0.3241 0.3241 0.5000
Pr5 0.6759 0.0000 0.5000
Pr6 0.6759 0.6759 0.0000
F1 0.0000 0.0000 0.2500
F2 0.0000 0.0000 0.7500
F3 0.0025 0.3451 0.3354
F4 0.0025 0.6573 0.1646
F5 0.3333 0.6667 0.5064
F6 0.3333 0.6667 0.9936
F7 0.3427 0.3451 0.1646
F8 0.3427 0.9975 0.3354
F9 0.3451 0.0025 0.6646
F10 0.3451 0.3427 0.8354
F11 0.6549 0.6573 0.3354
F12 0.6549 0.9975 0.1646
F13 0.6573 0.0025 0.8354
F14 0.6573 0.6549 0.6646
F15 0.6667 0.3333 0.0064
F16 0.6667 0.3333 0.4936
F17 0.9975 0.3427 0.6646
F18 0.9975 0.6549 0.8354

=====

[9]
# SmC8 (PBE-GGA, relaxed)
# - Total DFT energy (no corrections): -78.3 eV per formula unit
data_SmC8
_chemical_formula_sum 'Sm1 C8'
_space_group_name_H-M_alt 'P 1'
_space_group_IT_number 1
_cell_length_a 5.0030
_cell_length_b 5.0030
_cell_length_c 4.4744
_cell_angle_alpha 90.00
_cell_angle_beta 90.00
_cell_angle_gamma 120.00
loop_
_space_group_symop_operation_xyz
'x,y,z'
loop_
_atom_site_label
_atom_site_fract_x
_atom_site_fract_y
_atom_site_fract_z
Sm1 0.0000 0.0000 0.0000
C1 0.1678 0.3356 0.5000
C2 0.1678 0.8322 0.5000
C3 0.3333 0.6667 0.5000
C4 0.3356 0.1678 0.5000
C5 0.6644 0.8322 0.5000
C6 0.6667 0.3333 0.5000
C7 0.8322 0.1678 0.5000
C8 0.8322 0.6644 0.5000

=====

[10]
# Tm4TlTeC2 (PBE-GGA, relaxed)
# - Total DFT energy (no corrections): -47.0 eV per formula unit
data_Tm4TlTeC2
_chemical_formula_sum 'Tm4 Tl1 Te1 C2'
_space_group_name_H-M_alt 'P 1'
_space_group_IT_number 1
_cell_length_a 3.6484
_cell_length_b 3.6484
_cell_length_c 15.0085
_cell_angle_alpha 90.00
_cell_angle_beta 90.00
_cell_angle_gamma 120.00
loop_
_space_group_symop_operation_xyz
'x,y,z'
loop_
_atom_site_label
_atom_site_fract_x
_atom_site_fract_y
_atom_site_fract_z
Tm1 0.0000 0.0000 0.1521
Tm2 0.0000 0.0000 0.8479
Tm3 0.6667 0.3333 0.3256
Tm4 0.6667 0.3333 0.6744
Tl1 0.0000 0.0000 0.5000
Te1 0.6667 0.3333 0.0000
C1 0.3333 0.6667 0.2359
C2 0.3333 0.6667 0.7641

=====

[11]
# MgSiHgPd (PBE-GGA, relaxed)
# - Total DFT energy (no corrections): -12.8 eV per formula unit
data_MgSiHgPd
_chemical_formula_sum 'Mg1 Si1 Hg1 Pd1'
_space_group_name_H-M_alt 'P 1'
_space_group_IT_number 1
_cell_length_a 4.6233
_cell_length_b 4.6233
_cell_length_c 4.6233
_cell_angle_alpha 60.00
_cell_angle_beta 60.00
_cell_angle_gamma 60.00
loop_
_space_group_symop_operation_xyz
'x,y,z'
loop_
_atom_site_label
_atom_site_fract_x
_atom_site_fract_y
_atom_site_fract_z
Mg1 0.0000 0.0000 0.0000
Si1 0.5000 0.5000 0.5000
Hg1 0.7500 0.7500 0.7500
Pd1 0.2500 0.2500 0.2500

=====

[12]
# Zr2Sc4Zn3C3 (PBE-GGA, relaxed)
# - Total DFT energy (no corrections): -78.9 eV per formula unit
data_Zr2Sc4Zn3C3
_chemical_formula_sum 'Zr4 Sc8 Zn6 C6'
_space_group_name_H-M_alt 'P 1'
_space_group_IT_number 1
_cell_length_a 5.7084
_cell_length_b 5.7084
_cell_length_c 14.8351
_cell_angle_alpha 99.96
_cell_angle_beta 99.96
_cell_angle_gamma 59.94
loop_
_space_group_symop_operation_xyz
'x,y,z'
loop_
_atom_site_label
_atom_site_fract_x
_atom_site_fract_y
_atom_site_fract_z
Zr1 0.0243 0.8592 0.5913
Zr2 0.1408 0.9757 0.9087
Zr3 0.8592 0.0243 0.0913
Zr4 0.9757 0.1408 0.4087
Sc1 0.1916 0.3622 0.0826
Sc2 0.3117 0.4711 0.4176
Sc3 0.3622 0.1916 0.5826
Sc4 0.4711 0.3117 0.9176
Sc5 0.5289 0.6883 0.0824
Sc6 0.6378 0.8084 0.4174
Sc7 0.6883 0.5289 0.5824
Sc8 0.8084 0.6378 0.9174
Zn1 0.0846 0.3833 0.7503
Zn2 0.3833 0.0846 0.2503
Zn3 0.4122 0.5878 0.2500
Zn4 0.5878 0.4122 0.7500
Zn5 0.6167 0.9154 0.7497
Zn6 0.9154 0.6167 0.2497
C1 0.0000 0.5000 0.5000
C2 0.1570 0.6858 0.9994
C3 0.3142 0.8430 0.5006
C4 0.5000 0.0000 0.0000
C5 0.6858 0.1570 0.4994
C6 0.8430 0.3142 0.0006